Entry from the Alexandria database: a relaxed structure of AgB3Pt (PBE).

The space group is Pm-3m (No. 221) and the conventional cell measures 4.1710, 4.1710 and 4.1710 Å, with angles of 90.00, 90.00 and 90.00 degrees. Symmetry generates all atoms from Ag at (0.0000, 0.0000, 0.0000), B at (0.0000, 0.5000, 0.5000) and Pt at (0.5000, 0.5000, 0.5000).

As for the density: 7.675 g cm⁻³. As for the crystal system: cubic. For the formation energy, the calculation gives 1.19 eV/atom. For the energy above the most stable polymorph in this dataset, the calculation gives 0.0 meV/atom.